LiNpCuS3 | PBE-GGA | optimized geometry

The structure in POSCAR format:
```
LiNpCuS3
1.0
1.917 -6.000 0.000
1.917 6.000 0.000
0.000 0.000 10.213
Li Np Cu S
2 2 2 6
Direct
0.247 0.753 0.750
0.753 0.247 0.250
0.500 0.500 0.000
0.500 0.500 0.500
0.029 0.971 0.250
0.971 0.029 0.750
0.142 0.858 0.072
0.142 0.858 0.428
0.415 0.585 0.250
0.585 0.415 0.750
0.858 0.142 0.572
0.858 0.142 0.928
```

Energy, eV per atom: -6.1966